# SmDy8Tm6 | Alexandria | PBE | optimized geometry
data_SmDy8Tm6
_symmetry_space_group_name_H-M 'R -3'
_symmetry_Int_Tables_number 148
_symmetry_space_group_name_Hall '-R 3'
_cell_length_a 8.9497
_cell_length_b 8.9497
_cell_length_c 20.4630
_cell_angle_alpha 90.00
_cell_angle_beta 90.00
_cell_angle_gamma 120.00
loop_
_atom_site_label
_atom_site_fract_x
_atom_site_fract_y
_atom_site_fract_z
Sm1 0.0000 0.0000 0.0000
Dy1 0.0000 0.0000 0.4233
Dy2 0.0813 0.5534 0.8082
Tm1 0.0574 0.2449 0.7065
# Energy of formation from the pure elements ... 136 meV/atom



# PuMgIr | Alexandria | PBE | optimized geometry
data_PuMgIr
_symmetry_space_group_name_H-M 'I 4 m m'
_symmetry_Int_Tables_number 107
_symmetry_space_group_name_Hall 'I 4 -2'
_cell_length_a 3.163
_cell_length_b 3.163
_cell_length_c 12.284
_cell_angle_alpha 90.00
_cell_angle_beta 90.00
_cell_angle_gamma 90.00
loop_
_atom_site_label
_atom_site_fract_x
_atom_site_fract_y
_atom_site_fract_z
Pu1 0.000 0.000 0.000
Mg1 0.000 0.000 0.720
Ir1 0.000 0.000 0.352
# Energy of formation from the pure elements ... -265 meV/atom



# AlRe2Tc | Alexandria | PBE | optimized geometry
data_AlRe2Tc
_symmetry_space_group_name_H-M 'P m m m'
_symmetry_Int_Tables_number 47
_symmetry_space_group_name_Hall '-P 2 2'
_cell_length_a 3.060
_cell_length_b 4.318
_cell_length_c 4.424
_cell_angle_alpha 90.00
_cell_angle_beta 90.00
_cell_angle_gamma 90.00
loop_
_atom_site_label
_atom_site_fract_x
_atom_site_fract_y
_atom_site_fract_z
Al1 0.000 0.000 0.000
Re1 0.000 0.500 0.500
Re2 0.500 0.000 0.500
Tc1 0.500 0.500 0.000
# Energy of formation from the pure elements ... -61 meV/atom



# Mn3CoPd | Alexandria | PBE | optimized geometry
data_Mn3CoPd
_symmetry_space_group_name_H-M 'P m -3 m'
_symmetry_Int_Tables_number 221
_symmetry_space_group_name_Hall '-P 4 2 3'
_cell_length_a 4.136
_cell_length_b 4.136
_cell_length_c 4.136
_cell_angle_alpha 90.00
_cell_angle_beta 90.00
_cell_angle_gamma 90.00
loop_
_atom_site_label
_atom_site_fract_x
_atom_site_fract_y
_atom_site_fract_z
Mn1 0.000 0.000 0.500
Co1 0.000 0.000 0.000
Pd1 0.500 0.500 0.500
# Energy of formation from the pure elements ... 1258 meV/atom
# Energy above the lowest structure with this stoichiometry ... 0 meV per atom



# LiAcMgCd3 | Alexandria | PBE | optimized geometry
data_LiAcMgCd3
_symmetry_space_group_name_H-M 'C m c m'
_symmetry_Int_Tables_number 63
_symmetry_space_group_name_Hall '-C 2c 2'
_cell_length_a 6.803
_cell_length_b 13.509
_cell_length_c 6.626
_cell_angle_alpha 90.00
_cell_angle_beta 90.00
_cell_angle_gamma 90.00
loop_
_atom_site_label
_atom_site_fract_x
_atom_site_fract_y
_atom_site_fract_z
Li1 0.000 0.062 0.250
Ac1 0.000 0.291 0.250
Mg1 0.000 0.357 0.750
Cd1 0.000 0.141 0.750
Cd2 0.218 0.500 0.000
# Energy of formation from the pure elements ... -138 meV/atom



# YCrP2 | Alexandria | PBE | optimized geometry
data_YCrP2
_symmetry_space_group_name_H-M 'P 4/m m m'
_symmetry_Int_Tables_number 123
_symmetry_space_group_name_Hall '-P 4 2'
_cell_length_a 3.811
_cell_length_b 3.811
_cell_length_c 5.390
_cell_angle_alpha 90.00
_cell_angle_beta 90.00
_cell_angle_gamma 90.00
loop_
_atom_site_label
_atom_site_fract_x
_atom_site_fract_y
_atom_site_fract_z
Y1 0.000 0.000 0.000
Cr1 0.500 0.500 0.500
P1 0.000 0.000 0.500
P2 0.500 0.500 0.000
# Energy of formation from the pure elements ... -642 meV/atom
# Energy above the lowest structure with this stoichiometry ... 265 meV per atom



# NdHoTh2 | Alexandria | PBE | optimized geometry
data_NdHoTh2
_symmetry_space_group_name_H-M 'R -3 m'
_symmetry_Int_Tables_number 166
_symmetry_space_group_name_Hall '-R 3 2"'
_cell_length_a 3.5054
_cell_length_b 3.5054
_cell_length_c 37.3382
_cell_angle_alpha 90.00
_cell_angle_beta 90.00
_cell_angle_gamma 120.00
loop_
_atom_site_label
_atom_site_fract_x
_atom_site_fract_y
_atom_site_fract_z
Nd1 0.0000 0.0000 0.0000
Ho1 0.0000 0.0000 0.5000
Th1 0.0000 0.0000 0.0884
# Energy of formation from the pure elements ... 192 meV/atom
# Energy above the lowest structure with this stoichiometry ... 162 meV per atom



# Sb2IrOs | Alexandria | PBE | optimized geometry
data_Sb2IrOs
_symmetry_space_group_name_H-M 'P 1 m 1'
_symmetry_Int_Tables_number 6
_symmetry_space_group_name_Hall 'P -2y'
_cell_length_a 3.519
_cell_length_b 5.036
_cell_length_c 4.945
_cell_angle_alpha 90.00
_cell_angle_beta 109.39
_cell_angle_gamma 90.00
loop_
_atom_site_label
_atom_site_fract_x
_atom_site_fract_y
_atom_site_fract_z
Sb1 0.000 0.000 0.000
Sb2 0.214 0.500 0.364
Ir1 0.902 0.500 0.769
Os1 0.310 0.000 0.590
# Formation energy from raw total energies ... 0.363 eV per atom
# Energy above the lowest structure with this stoichiometry ... 129 meV per atom



# SrTm2CuS4 | Alexandria | PBE | optimized geometry
data_SrTm2CuS4
_symmetry_space_group_name_H-M 'C m c m'
_symmetry_Int_Tables_number 63
_symmetry_space_group_name_Hall '-C 2c 2'
_cell_length_a 3.892
_cell_length_b 13.016
_cell_length_c 13.430
_cell_angle_alpha 90.00
_cell_angle_beta 90.00
_cell_angle_gamma 90.00
loop_
_atom_site_label
_atom_site_fract_x
_atom_site_fract_y
_atom_site_fract_z
Sr1 0.000 0.118 0.250
Tm1 0.000 0.372 0.059
Cu1 0.000 0.152 0.750
S1 0.000 0.000 0.000
S2 0.000 0.269 0.617
S3 0.000 0.444 0.250
# Formation energy from raw total energies ... -1.730 eV per atom



# Ho4FeCl5 | Alexandria | PBE | optimized geometry
data_Ho4FeCl5
_symmetry_space_group_name_H-M 'C 1 2/m 1'
_symmetry_Int_Tables_number 12
_symmetry_space_group_name_Hall '-C 2y'
_cell_length_a 18.579
_cell_length_b 3.753
_cell_length_c 8.588
_cell_angle_alpha 90.00
_cell_angle_beta 90.30
_cell_angle_gamma 90.00
loop_
_atom_site_label
_atom_site_fract_x
_atom_site_fract_y
_atom_site_fract_z
Ho1 0.000 0.000 0.235
Ho2 0.129 0.500 0.001
Fe1 0.000 0.500 0.000
Cl1 0.000 0.500 0.500
Cl2 0.152 0.000 0.229
Cl3 0.152 0.000 0.774
# Formation energy from raw total energies ... -1.474 eV per atom



# TlSnNCl2 | Alexandria | PBE | optimized geometry
data_TlSnNCl2
_symmetry_space_group_name_H-M 'P 4/m m m'
_symmetry_Int_Tables_number 123
_symmetry_space_group_name_Hall '-P 4 2'
_cell_length_a 5.100
_cell_length_b 5.100
_cell_length_c 4.429
_cell_angle_alpha 90.00
_cell_angle_beta 90.00
_cell_angle_gamma 90.00
loop_
_atom_site_label
_atom_site_fract_x
_atom_site_fract_y
_atom_site_fract_z
Tl1 0.000 0.000 0.000
Sn1 0.500 0.500 0.000
N1 0.000 0.000 0.500
Cl1 0.000 0.500 0.500
# Formation energy from raw total energies ... 0.681 eV per atom



## ReTeMoH2 (PBE)

Data for an optimized crystal structure of ReTeMoH2.

Structure (CIF):
```
data_ReTeMoH2
_symmetry_space_group_name_H-M 'P 4/m m m'
_symmetry_Int_Tables_number 123
_symmetry_space_group_name_Hall '-P 4 2'
_cell_length_a 3.723
_cell_length_b 3.723
_cell_length_c 5.228
_cell_angle_alpha 90.00
_cell_angle_beta 90.00
_cell_angle_gamma 90.00
loop_
_atom_site_label
_atom_site_fract_x
_atom_site_fract_y
_atom_site_fract_z
Re1 0.000 0.000 0.000
Te1 0.500 0.500 0.000
Mo1 0.500 0.500 0.500
H1 0.000 0.500 0.500
```



# OsPbS2Cl | Alexandria | PBE | optimized geometry
data_OsPbS2Cl
_symmetry_space_group_name_H-M 'P 4/m m m'
_symmetry_Int_Tables_number 123
_symmetry_space_group_name_Hall '-P 4 2'
_cell_length_a 4.675
_cell_length_b 4.675
_cell_length_c 4.993
_cell_angle_alpha 90.00
_cell_angle_beta 90.00
_cell_angle_gamma 90.00
loop_
_atom_site_label
_atom_site_fract_x
_atom_site_fract_y
_atom_site_fract_z
Os1 0.000 0.000 0.000
Pb1 0.500 0.500 0.500
S1 0.000 0.500 0.000
Cl1 0.000 0.000 0.500
# Formation energy from raw total energies ... 0.101 eV per atom
# Energy above the lowest structure with this stoichiometry ... 0 meV per atom



# Rb5SbCl2O4 | Alexandria | PBE | optimized geometry
data_Rb5SbCl2O4
_symmetry_space_group_name_H-M 'A m m 2'
_symmetry_Int_Tables_number 38
_symmetry_space_group_name_Hall 'A 2 -2'
_cell_length_a 8.817
_cell_length_b 10.858
_cell_length_c 6.996
_cell_angle_alpha 90.00
_cell_angle_beta 90.00
_cell_angle_gamma 90.00
loop_
_atom_site_label
_atom_site_fract_x
_atom_site_fract_y
_atom_site_fract_z
Rb1 0.000 0.000 0.000
Rb2 0.292 0.180 0.407
Sb1 0.500 0.000 0.918
Cl1 0.000 0.205 0.672
O1 0.327 0.000 0.087
O2 0.500 0.143 0.757
# Formation energy from raw total energies ... -1.642 eV per atom



# AcCdIn2 | Alexandria | PBE | optimized geometry
data_AcCdIn2
_symmetry_space_group_name_H-M 'C m c m'
_symmetry_Int_Tables_number 63
_symmetry_space_group_name_Hall '-C 2c 2'
_cell_length_a 4.994
_cell_length_b 18.326
_cell_length_c 10.211
_cell_angle_alpha 90.00
_cell_angle_beta 90.00
_cell_angle_gamma 90.00
loop_
_atom_site_label
_atom_site_fract_x
_atom_site_fract_y
_atom_site_fract_z
Ac1 0.000 0.000 0.000
Ac2 0.000 0.198 0.250
Cd1 0.000 0.353 0.525
In1 0.000 0.191 0.602
In2 0.000 0.400 0.250
In3 0.000 0.446 0.750
# Energy of formation from the pure elements ... -374 meV/atom
# Energy above the lowest structure with this stoichiometry ... 0 meV per atom



# Tl2AgAu | Alexandria | PBE | optimized geometry
data_Tl2AgAu
_symmetry_space_group_name_H-M 'F -4 3 m'
_symmetry_Int_Tables_number 216
_symmetry_space_group_name_Hall 'F -4 2 3'
_cell_length_a 7.267
_cell_length_b 7.267
_cell_length_c 7.267
_cell_angle_alpha 90.00
_cell_angle_beta 90.00
_cell_angle_gamma 90.00
loop_
_atom_site_label
_atom_site_fract_x
_atom_site_fract_y
_atom_site_fract_z
Tl1 0.000 0.000 0.000
Tl2 0.250 0.250 0.250
Ag1 0.000 0.000 0.500
Au1 0.250 0.250 0.750
# Energy of formation from the pure elements ... 130 meV/atom
# Energy above the lowest structure with this stoichiometry ... 101 meV per atom



# Ac3CoBi | Alexandria | PBE | optimized geometry
data_Ac3CoBi
_symmetry_space_group_name_H-M 'P m -3 m'
_symmetry_Int_Tables_number 221
_symmetry_space_group_name_Hall '-P 4 2 3'
_cell_length_a 5.567
_cell_length_b 5.567
_cell_length_c 5.567
_cell_angle_alpha 90.00
_cell_angle_beta 90.00
_cell_angle_gamma 90.00
loop_
_atom_site_label
_atom_site_fract_x
_atom_site_fract_y
_atom_site_fract_z
Ac1 0.000 0.000 0.500
Co1 0.000 0.000 0.000
Bi1 0.500 0.500 0.500
# Energy of formation from the pure elements ... -374 meV/atom
# Energy above the lowest structure with this stoichiometry ... 0 meV per atom



# NaMnRh2 | Alexandria | PBE | optimized geometry
data_NaMnRh2
_symmetry_space_group_name_H-M 'F m -3 m'
_symmetry_Int_Tables_number 225
_symmetry_space_group_name_Hall '-F 4 2 3'
_cell_length_a 6.191
_cell_length_b 6.191
_cell_length_c 6.191
_cell_angle_alpha 90.00
_cell_angle_beta 90.00
_cell_angle_gamma 90.00
loop_
_atom_site_label
_atom_site_fract_x
_atom_site_fract_y
_atom_site_fract_z
Na1 0.000 0.000 0.000
Mn1 0.000 0.000 0.500
Rh1 0.250 0.250 0.250
# Energy of formation from the pure elements ... 285 meV/atom
# Energy above the lowest structure with this stoichiometry ... 0 meV per atom



# Rb2LaMoI6 | Alexandria | PBE | optimized geometry
data_Rb2LaMoI6
_symmetry_space_group_name_H-M 'F m -3 m'
_symmetry_Int_Tables_number 225
_symmetry_space_group_name_Hall '-F 4 2 3'
_cell_length_a 11.893
_cell_length_b 11.893
_cell_length_c 11.893
_cell_angle_alpha 90.00
_cell_angle_beta 90.00
_cell_angle_gamma 90.00
loop_
_atom_site_label
_atom_site_fract_x
_atom_site_fract_y
_atom_site_fract_z
Rb1 0.250 0.250 0.250
La1 0.000 0.000 0.000
Mo1 0.000 0.000 0.500
I1 0.000 0.000 0.264
# Formation energy from raw total energies ... -0.860 eV per atom



# TlCd2W | Alexandria | PBE | optimized geometry
data_TlCd2W
_symmetry_space_group_name_H-M 'I m m m'
_symmetry_Int_Tables_number 71
_symmetry_space_group_name_Hall '-I 2 2'
_cell_length_a 2.963
_cell_length_b 4.952
_cell_length_c 12.302
_cell_angle_alpha 90.00
_cell_angle_beta 90.00
_cell_angle_gamma 90.00
loop_
_atom_site_label
_atom_site_fract_x
_atom_site_fract_y
_atom_site_fract_z
Tl1 0.000 0.000 0.000
Cd1 0.000 0.500 0.203
W1 0.000 0.000 0.500
# Energy of formation from the pure elements ... 639 meV/atom
# Energy above the lowest structure with this stoichiometry ... 105 meV per atom



# KNaSr | Alexandria | PBE | optimized geometry
data_KNaSr
_symmetry_space_group_name_H-M 'P 4/n m m'
_symmetry_Int_Tables_number 129
_cell_length_a 4.375
_cell_length_b 4.375
_cell_length_c 16.842
_cell_angle_alpha 90.00
_cell_angle_beta 90.00
_cell_angle_gamma 90.00
loop_
_symmetry_equiv_pos_as_xyz
'x,y,z'
'-x,-y,-z'
'-y+1/2,x,z'
'y+1/2,-x,-z'
'-x+1/2,-y+1/2,z'
'x+1/2,y+1/2,-z'
'y,-x+1/2,z'
'-y,x+1/2,-z'
'x+1/2,-y,-z'
'-x+1/2,y,z'
'-y,-x,-z'
'y,x,z'
'-x,y+1/2,-z'
'x,-y+1/2,z'
'y+1/2,x+1/2,-z'
'-y+1/2,-x+1/2,z'
loop_
_atom_site_label
_atom_site_fract_x
_atom_site_fract_y
_atom_site_fract_z
K1 0.250 0.250 0.108
Na1 0.250 0.250 0.732
Sr1 0.250 0.250 0.413
# Energy of formation from the pure elements ... 20 meV/atom
# Energy above the lowest structure with this stoichiometry ... 0 meV per atom



# AcErSeO2 | Alexandria | PBE | optimized geometry
data_AcErSeO2
_symmetry_space_group_name_H-M 'P 1 21/m 1'
_symmetry_Int_Tables_number 11
_symmetry_space_group_name_Hall '-P 2yb'
_cell_length_a 6.878
_cell_length_b 4.199
_cell_length_c 7.942
_cell_angle_alpha 90.00
_cell_angle_beta 110.00
_cell_angle_gamma 90.00
loop_
_atom_site_label
_atom_site_fract_x
_atom_site_fract_y
_atom_site_fract_z
Ac1 0.199 0.250 0.435
Er1 0.162 0.250 0.926
Se1 0.457 0.750 0.760
O1 0.010 0.750 0.363
O2 0.023 0.750 0.897
# Formation energy from raw total energies ... -3.060 eV per atom



# La7Ru3 | Alexandria | PBE | optimized geometry
data_La7Ru3
_symmetry_space_group_name_H-M 'P n m a'
_symmetry_Int_Tables_number 62
_symmetry_space_group_name_Hall '-P 2ac 2n'
_cell_length_a 7.365
_cell_length_b 23.730
_cell_length_c 6.766
_cell_angle_alpha 90.00
_cell_angle_beta 90.00
_cell_angle_gamma 90.00
loop_
_atom_site_label
_atom_site_fract_x
_atom_site_fract_y
_atom_site_fract_z
La1 0.067 0.114 0.144
La2 0.165 0.750 0.638
La3 0.174 0.024 0.677
La4 0.201 0.175 0.678
Ru1 0.003 0.250 0.967
Ru2 0.106 0.595 0.471
# Energy of formation from the pure elements ... -288 meV/atom



# Ce2HoCo | Alexandria | PBE | optimized geometry
data_Ce2HoCo
_symmetry_space_group_name_H-M 'R 3 m'
_symmetry_Int_Tables_number 160
_symmetry_space_group_name_Hall 'R 3 -2"'
_cell_length_a 3.6916
_cell_length_b 3.6916
_cell_length_c 26.5235
_cell_angle_alpha 90.00
_cell_angle_beta 90.00
_cell_angle_gamma 120.00
loop_
_atom_site_label
_atom_site_fract_x
_atom_site_fract_y
_atom_site_fract_z
Ce1 0.0000 0.0000 0.0000
Ce2 0.0000 0.0000 0.2121
Ho1 0.0000 0.0000 0.7738
Co1 0.0000 0.0000 0.6062
# Energy of formation from the pure elements ... -1 meV/atom
# Energy above the lowest structure with this stoichiometry ... 132 meV per atom



| no. | electronic total energy (eV/cell) |
| --- | --- |
| 1 | -198.96 |
| 2 | -51.16 |
| 3 | -39.25 |
| 4 | -33.52 |
| 5 | -44.75 |
| 6 | -29.48 |
| 7 | -70.25 |
| 8 | -26.89 |
| 9 | -180.29 |
| 10 | -101.49 |
| 11 | -14.98 |
| 12 | -27.26 |
| 13 | -24.53 |
| 14 | -104.38 |
| 15 | -95.97 |
| 16 | -41.36 |
| 17 | -25.18 |
| 18 | -96.21 |
| 19 | -142.38 |
| 20 | -29.19 |
| 21 | -8.08 |
| 22 | -74.74 |
| 23 | -260.81 |
| 24 | -70.67 |